A plane-wave DFT calculation with PBE was carried out for a geometry-optimized Sc2CuSbH structure.

Calculated values
symmetry = P4/mmm

Lattice parameters (Å, degrees): 4.489 4.489 3.972 90.00 90.00 90.00
Fractional positions:
Sc1 0.000 0.500 0.000
Sc2 0.500 0.000 0.000
Cu1 0.000 0.000 0.500
Sb1 0.500 0.500 0.500
H1 0.000 0.000 0.000

=====

A plane-wave DFT calculation with PBE was carried out for a geometry-optimized Ba4Ta2Sn structure.

Calculated values
symmetry = I4/mmm
energy relative to the elements = 0.85 eV per atom

Lattice parameters (Å, degrees): 9.399 9.399 9.399 137.51 137.51 61.66
Fractional positions:
Ba1 0.000 0.500 0.500
Ba2 0.210 0.210 0.000
Ba3 0.500 0.000 0.500
Ba4 0.790 0.790 0.000
Ta1 0.430 0.430 0.000
Ta2 0.570 0.570 0.000
Sn1 0.000 0.000 0.000

=====

A plane-wave DFT calculation with PBE was carried out for a geometry-optimized YCuPd2Au structure.

Calculated values
symmetry = P4/mmm
energy relative to the elements = 0.63 eV per atom

Lattice parameters (Å, degrees): 5.025 5.025 5.219 90.00 90.00 90.00
Fractional positions:
Y1 0.000 0.000 0.000
Cu1 0.500 0.500 0.000
Pd1 0.000 0.500 0.500
Pd2 0.500 0.000 0.500
Au1 0.000 0.000 0.500

=====

| no. | total DFT energy (no corrections) (eV for the cell shown) | M_tot (μB/cell) |
| --- | --- | --- |
| 1 | -26.5 | 0.01 |
| 2 | -29.5 | 0.00 |
| 3 | -21.1 | 0.00 |